1.
The following is a DFT calculation (GGA-PBE) of a geometry-optimized Li2SmCd2Hg2 structure.

Computed properties:
The formation energy is -0.272 eV per atom. Its space group is No. 166.

Geometry as POSCAR:
```
Li2SmCd2Hg2
1.0
2.4580 1.4191 7.3194
-2.4580 1.4191 7.3194
0.0000 -2.8383 7.3194
Li Sm Cd Hg
2 1 2 2
direct
0.1454 0.1454 0.1454
0.8546 0.8546 0.8546
0.0000 0.0000 0.0000
0.2686 0.2686 0.2686
0.7314 0.7314 0.7314
0.4262 0.4262 0.4262
0.5738 0.5738 0.5738
```

2.
The following is a DFT calculation (GGA-PBE) of a geometry-optimized LiSm2CdHg4 structure.

Computed properties:
The formation energy is -0.446 eV per atom. Its space group is No. 166.

Geometry as POSCAR:
```
LiSm2CdHg4
1.0
2.5570 1.4763 8.3648
-2.5570 1.4763 8.3648
0.0000 -2.9526 8.3648
Li Sm Cd Hg
1 2 1 4
direct
0.0000 0.0000 0.0000
0.2473 0.2473 0.2473
0.7527 0.7527 0.7527
0.5000 0.5000 0.5000
0.1199 0.1199 0.1199
0.3705 0.3705 0.3705
0.6295 0.6295 0.6295
0.8801 0.8801 0.8801
```

3.
The following is a DFT calculation (GGA-PBE) of a geometry-optimized LiCd2SnHg structure.

Computed properties:
For the energy relative to the lowest polymorph listed for this composition, the calculation gives 0.0 kJ/mol of atoms. The formation energy is -0.087 eV per atom. Its space group is No. 11.

Geometry as POSCAR:
```
LiCd2SnHg
1.0
6.6388 0.0000 0.0000
0.0000 4.9167 0.0000
-1.4636 0.0000 7.4290
Li Cd Sn Hg
2 4 2 2
direct
0.0522 0.2500 0.1849
0.9478 0.7500 0.8151
0.1030 0.7500 0.4588
0.3656 0.2500 0.5615
0.6344 0.7500 0.4385
0.8970 0.2500 0.5412
0.4524 0.7500 0.8114
0.5476 0.2500 0.1886
0.2483 0.7500 0.1245
0.7517 0.2500 0.8755
```

4.
The following is a DFT calculation (GGA-PBE) of a geometry-optimized LiCd2SnHg4 structure.

Computed properties:
The formation energy is -0.061 eV per atom. Its space group is No. 10.

Geometry as POSCAR:
```
LiCd2SnHg4
1.0
4.9952 0.0000 0.0000
0.0000 4.8233 0.0000
-0.7295 0.0000 7.8727
Li Cd Sn Hg
1 2 1 4
direct
0.0000 0.0000 0.0000
0.0000 0.0000 0.5000
0.5000 0.5000 0.5000
0.5000 0.5000 0.0000
0.0068 0.5000 0.2454
0.4805 0.0000 0.2483
0.5195 0.0000 0.7517
0.9932 0.5000 0.7546
```

5.
The following is a DFT calculation (GGA-PBE) of a geometry-optimized Li5Cd2SnHg2 structure.

Computed properties:
The formation energy is -0.231 eV per atom. Its space group is No. 127.

Geometry as POSCAR:
```
Li5Cd2SnHg2
1.0
10.6202 0.0000 0.0000
0.0000 10.6202 0.0000
0.0000 0.0000 3.6149
Li Cd Sn Hg
10 4 2 4
direct
0.0000 0.5000 0.0000
0.1161 0.1697 0.0000
0.1697 0.8839 0.0000
0.3303 0.3839 0.0000
0.3839 0.6697 0.0000
0.5000 0.0000 0.0000
0.6161 0.3303 0.0000
0.6697 0.6161 0.0000
0.8303 0.1161 0.0000
0.8839 0.8303 0.0000
0.1573 0.6573 0.5000
0.3427 0.1573 0.5000
0.6573 0.8427 0.5000
0.8427 0.3427 0.5000
0.0000 0.0000 0.5000
0.5000 0.5000 0.5000
0.1364 0.3636 0.5000
0.3636 0.8636 0.5000
0.6364 0.1364 0.5000
0.8636 0.6364 0.5000
```

6.
The following is a DFT calculation (GGA-PBE) of a geometry-optimized Li2Cd2SnHg2 structure.

Computed properties:
The formation energy is -0.144 eV per atom. Its space group is No. 166.

Geometry as POSCAR:
```
Li2Cd2SnHg2
1.0
2.4581 1.4192 7.2068
-2.4581 1.4192 7.2068
0.0000 -2.8383 7.2068
Li Cd Sn Hg
2 2 1 2
direct
0.2169 0.2169 0.2169
0.7831 0.7831 0.7831
0.0818 0.0818 0.0818
0.9182 0.9182 0.9182
0.5000 0.5000 0.5000
0.3563 0.3563 0.3563
0.6437 0.6437 0.6437
```

no.,final energy (eV/atom)
1,-1.84
2,-2.13
3,-1.70
4,-1.18
5,-1.83
6,-1.61